--- i ---
First-principles (PBE-GGA) data for an optimized crystal structure of Tb3Nd, as listed in Alexandria via LeMat-Bulk.

magnetization = 0.000 μB/f.u.
space-group type = I4/mmm

a = 6.2207 Å, b = 6.2207 Å, c = 6.2207 Å
α = 131.83°, β = 131.83°, γ = 70.49°
With the nearest neighbours (Å) after each atom.
Sites, in units of the cell vectors:
Tb 0.0000 0.0000 0.0000  4 Nd 3.59, 8 Tb 3.59
Tb 0.2500 0.7500 0.5000  8 Tb 3.59, 4 Nd 3.59
Tb 0.7500 0.2500 0.5000  8 Tb 3.59, 4 Nd 3.59
Nd 0.5000 0.5000 0.0000  12 Tb 3.59

--- ii ---
First-principles (PBE-GGA) data for an optimized crystal structure of Tb3Nd, as listed in Alexandria via LeMat-Bulk.

magnetization = 0.000 μB/f.u.
space-group type = Imm2

a = 6.8134 Å, b = 6.8134 Å, c = 6.8134 Å
α = 148.90°, β = 64.59°, γ = 124.95°
With the nearest neighbours (Å) after each atom.
Sites, in units of the cell vectors:
Tb 0.0000 0.0000 0.0000  8 Tb 3.56-3.65, 4 Nd 3.63-3.65
Tb 0.4167 0.6683 0.7484  3 Nd 3.55-3.58, 9 Tb 3.56-3.65
Tb 0.9198 0.6683 0.2516  3 Nd 3.55-3.58, 9 Tb 3.56-3.65
Nd 0.5026 0.0026 0.5000  10 Tb 3.55-3.65, 2 Nd 3.65

Most stable: i

--- i ---
First-principles (PBE-GGA) data for an optimized crystal structure of Tb3Nd, as listed in Alexandria via LeMat-Bulk.

magnetization = 0.000 μB/f.u.
space-group type = Pm-3m

a = 5.0761 Å, b = 5.0761 Å, c = 5.0761 Å
α = 90.00°, β = 90.00°, γ = 90.00°
With the nearest neighbours (Å) after each atom.
Sites, in units of the cell vectors:
Tb 0.0000 0.0000 0.5000  8 Tb 3.59, 4 Nd 3.59
Tb 0.0000 0.5000 0.0000  8 Tb 3.59, 4 Nd 3.59
Tb 0.5000 0.0000 0.0000  8 Tb 3.59, 4 Nd 3.59
Nd 0.5000 0.5000 0.5000  12 Tb 3.59

--- ii ---
First-principles (PBE-GGA) data for an optimized crystal structure of Tb3Nd, as listed in Alexandria via LeMat-Bulk.

magnetization = 0.000 μB/f.u.
space-group type = Pmm2

a = 3.6570 Å, b = 5.7470 Å, c = 6.3207 Å
α = 90.00°, β = 90.00°, γ = 90.00°
With the nearest neighbours (Å) after each atom.
Sites, in units of the cell vectors:
Tb 0.0000 0.0000 0.0000  8 Tb 3.56-3.66, 4 Nd 3.64-3.66
Tb 0.0000 0.5000 0.3326  8 Tb 3.56-3.66, 4 Nd 3.56
Tb 0.5000 0.5000 0.8338  10 Tb 3.56-3.66, 2 Nd 3.57
Nd 0.5000 0.0000 0.4985  10 Tb 3.56-3.66, 2 Nd 3.66

--- iii ---
First-principles (PBE-GGA) data for an optimized crystal structure of Tb3Nd, as listed in Alexandria via LeMat-Bulk.

magnetization = 0.002 μB/f.u.
space-group type = Fm-3m

a = 5.7185 Å, b = 5.7185 Å, c = 5.7185 Å
α = 60.00°, β = 60.00°, γ = 60.00°
With the nearest neighbours (Å) after each atom.
Sites, in units of the cell vectors:
Tb 0.0000 0.0000 0.0000  8 Tb 3.50
Tb 0.2500 0.2500 0.2500  4 Tb 3.50, 4 Nd 3.50
Tb 0.7500 0.7500 0.7500  4 Tb 3.50, 4 Nd 3.50
Nd 0.5000 0.5000 0.5000  8 Tb 3.50

Most stable: i

--- i ---
First-principles (PBE-GGA) data for an optimized crystal structure of Tb7Nd3, as listed in Alexandria via LeMat-Bulk.

magnetization = 0.000 μB/f.u.
space-group type = C2/m

a = 9.5093 Å, b = 9.5093 Å, c = 7.2099 Å
α = 100.97°, β = 100.97°, γ = 31.00°
With the nearest neighbours (Å) after each atom.
Sites, in units of the cell vectors:
Tb 0.0000 0.0000 0.0000  4 Nd 3.57-3.60, 8 Tb 3.59-3.60
Tb 0.1997 0.1997 0.5995  5 Nd 3.59-3.61, 7 Tb 3.59-3.60
Tb 0.3998 0.3998 0.6994  4 Nd 3.59-3.60, 8 Tb 3.59-3.61
Tb 0.4006 0.4006 0.2006  7 Tb 3.59-3.61, 5 Nd 3.59-3.62
Tb 0.5994 0.5994 0.7994  7 Tb 3.59-3.61, 5 Nd 3.59-3.62
Tb 0.6002 0.6002 0.3006  4 Nd 3.59-3.60, 8 Tb 3.59-3.61
Tb 0.8003 0.8003 0.4005  5 Nd 3.59-3.61, 7 Tb 3.59-3.60
Nd 0.0000 0.0000 0.5000  12 Tb 3.59-3.60
Nd 0.1989 0.1989 0.1001  10 Tb 3.57-3.62, 2 Nd 3.62
Nd 0.8011 0.8011 0.8999  10 Tb 3.57-3.62, 2 Nd 3.62

--- ii ---
First-principles (PBE-GGA) data for an optimized crystal structure of Tb7Nd3, as listed in Alexandria via LeMat-Bulk.

magnetization = 0.000 μB/f.u.
space-group type = P6_3mc

a = 10.8526 Å, b = 10.8526 Å, c = 6.5298 Å
α = 90.00°, β = 90.00°, γ = 120.00°
With the nearest neighbours (Å) after each atom.
Sites, in units of the cell vectors:
Tb 0.0588 0.5294 0.0000  3 Tb 3.25-3.45, 4 Nd 3.38-3.39
Tb 0.1204 0.2408 0.8286  4 Nd 3.34-3.74, 2 Tb 3.69
Tb 0.1204 0.8796 0.8286  4 Nd 3.34-3.74, 2 Tb 3.69
Tb 0.2408 0.1204 0.3286  4 Nd 3.34-3.74, 2 Tb 3.69
Tb 0.3333 0.6667 0.6967  3 Tb 3.25, 3 Nd 3.33
Tb 0.4706 0.5294 0.0000  3 Tb 3.25-3.45, 4 Nd 3.38-3.39
Tb 0.4706 0.9412 0.0000  3 Tb 3.25-3.45, 4 Nd 3.38-3.39
Tb 0.5294 0.0588 0.5000  3 Tb 3.25-3.45, 4 Nd 3.38-3.39
Tb 0.5294 0.4706 0.5000  3 Tb 3.25-3.45, 4 Nd 3.38-3.39
Tb 0.6667 0.3333 0.1967  3 Tb 3.25, 3 Nd 3.33
Tb 0.7592 0.8796 0.8286  4 Nd 3.34-3.74, 2 Tb 3.69
Tb 0.8796 0.1204 0.3286  4 Nd 3.34-3.74, 2 Tb 3.69
Tb 0.8796 0.7592 0.3286  4 Nd 3.34-3.74, 2 Tb 3.69
Tb 0.9412 0.4706 0.5000  3 Tb 3.25-3.45, 4 Nd 3.38-3.39
Nd 0.2039 0.4079 0.3479  8 Tb 3.33-3.51
Nd 0.2039 0.7961 0.3479  8 Tb 3.33-3.51
Nd 0.4079 0.2039 0.8479  8 Tb 3.33-3.51
Nd 0.5921 0.7961 0.3479  8 Tb 3.33-3.51
Nd 0.7961 0.2039 0.8479  8 Tb 3.33-3.51
Nd 0.7961 0.5921 0.8479  8 Tb 3.33-3.51

Most stable: i

--- i ---
First-principles (PBE-GGA) data for an optimized crystal structure of Tb2Nd, as listed in Alexandria via LeMat-Bulk.

magnetization = 0.000 μB/f.u.
space-group type = I4/mmm

a = 8.0518 Å, b = 8.0518 Å, c = 8.0518 Å
α = 154.15°, β = 154.15°, γ = 36.88°
With the nearest neighbours (Å) after each atom.
Sites, in units of the cell vectors:
Tb 0.1682 0.1682 0.0000  8 Tb 3.57-3.60, 4 Nd 3.62
Tb 0.8318 0.8318 0.0000  8 Tb 3.57-3.60, 4 Nd 3.62
Nd 0.5000 0.5000 0.0000  4 Nd 3.60, 8 Tb 3.62

--- ii ---
First-principles (PBE-GGA) data for an optimized crystal structure of Tb2Nd, as listed in Alexandria via LeMat-Bulk.

magnetization = 0.000 μB/f.u.
space-group type = R-3m

a = 17.6201 Å, b = 17.6201 Å, c = 17.6201 Å
α = 11.78°, β = 11.78°, γ = 11.78°
With the nearest neighbours (Å) after each atom.
Sites, in units of the cell vectors:
Tb 0.1392 0.1392 0.1392  9 Tb 3.56-3.62, 3 Nd 3.61
Tb 0.3063 0.3063 0.3063  9 Tb 3.53-3.62, 3 Nd 3.61
Tb 0.6937 0.6937 0.6937  9 Tb 3.53-3.62, 3 Nd 3.61
Tb 0.8608 0.8608 0.8608  9 Tb 3.56-3.62, 3 Nd 3.61
Nd 0.4165 0.4165 0.4165  6 Tb 3.61, 6 Nd 3.62
Nd 0.5835 0.5835 0.5835  6 Tb 3.61, 6 Nd 3.62

Most stable: ii

--- i ---
First-principles (PBE-GGA) data for an optimized crystal structure of Tb7Nd5, as listed in Alexandria via LeMat-Bulk.

magnetization = 0.006 μB/f.u.
space-group type = C2/m

a = 5.6383 Å, b = 5.6383 Å, c = 14.8727 Å
α = 102.05°, β = 102.05°, γ = 62.29°
With the nearest neighbours (Å) after each atom.
Sites, in units of the cell vectors:
Tb 0.0000 0.0000 0.0000  6 Nd 3.41-3.42
Tb 0.1812 0.1812 0.5832  6 Nd 3.47-3.76, 3 Tb 3.53-3.76
Tb 0.2566 0.2566 0.8279  7 Nd 3.41-3.81, 4 Tb 3.53-3.73
Tb 0.4575 0.4575 0.2859  5 Nd 3.11-3.30
Tb 0.5425 0.5425 0.7141  5 Nd 3.11-3.30
Tb 0.7434 0.7434 0.1721  7 Nd 3.41-3.81, 4 Tb 3.53-3.73
Tb 0.8188 0.8188 0.4168  6 Nd 3.47-3.76, 3 Tb 3.53-3.76
Nd 0.1223 0.1223 0.2988  3 Tb 3.29-3.30
Nd 0.3644 0.3644 0.0639  5 Tb 3.20-3.42
Nd 0.5000 0.5000 0.5000  6 Tb 3.11-3.47
Nd 0.6356 0.6356 0.9361  5 Tb 3.20-3.42
Nd 0.8777 0.8777 0.7012  3 Tb 3.29-3.30

--- ii ---
First-principles (PBE-GGA) data for an optimized crystal structure of Tb7Nd5, as listed in Alexandria via LeMat-Bulk.

magnetization = 0.000 μB/f.u.
space-group type = C2/m

a = 9.5823 Å, b = 9.5823 Å, c = 13.2751 Å
α = 117.64°, β = 117.64°, γ = 21.82°
With the nearest neighbours (Å) after each atom.
Sites, in units of the cell vectors:
Tb 0.0000 0.0000 0.0000  6 Tb 3.60-3.63, 6 Nd 3.61
Tb 0.1378 0.1378 0.7486  7 Nd 3.58-3.64, 5 Tb 3.61-3.63
Tb 0.1662 0.1662 0.4976  5 Nd 3.56-3.63, 7 Tb 3.58-3.63
Tb 0.4725 0.4725 0.7497  4 Nd 3.57-3.63, 8 Tb 3.58-3.63
Tb 0.5275 0.5275 0.2503  4 Nd 3.57-3.63, 8 Tb 3.58-3.63
Tb 0.8338 0.8338 0.5024  5 Nd 3.56-3.63, 7 Tb 3.58-3.63
Tb 0.8622 0.8622 0.2514  7 Nd 3.58-3.64, 5 Tb 3.61-3.63
Nd 0.1948 0.1948 0.2511  8 Tb 3.56-3.63, 4 Nd 3.62-3.63
Nd 0.3346 0.3346 0.0020  6 Tb 3.57-3.64, 6 Nd 3.62-3.64
Nd 0.5000 0.5000 0.5000  10 Tb 3.58-3.63, 2 Nd 3.63
Nd 0.6654 0.6654 0.9980  6 Tb 3.57-3.64, 6 Nd 3.62-3.64
Nd 0.8052 0.8052 0.7489  8 Tb 3.56-3.63, 4 Nd 3.62-3.63

Most stable: ii

--- i ---
First-principles (PBE-GGA) data for an optimized crystal structure of Tb3NdTe6, as listed in Alexandria via LeMat-Bulk.

magnetization = 0.000 μB/f.u.
space-group type = P2_1/m

a = 12.5399 Å, b = 4.4016 Å, c = 12.9009 Å
α = 90.00°, β = 109.29°, γ = 90.00°
With the nearest neighbours (Å) after each atom.
Sites, in units of the cell vectors:
Tb 0.0659 0.2500 0.1659  6 Te 3.06-3.13
Tb 0.1823 0.7500 0.5019  7 Te 3.06-3.30
Tb 0.3446 0.2500 0.9182  6 Te 3.02-3.11
Tb 0.6554 0.7500 0.0818  6 Te 3.02-3.11
Tb 0.8177 0.2500 0.4981  7 Te 3.06-3.30
Tb 0.9341 0.7500 0.8341  6 Te 3.06-3.13
Nd 0.4537 0.2500 0.3036  8 Te 3.25-3.36
Nd 0.5463 0.7500 0.6964  8 Te 3.25-3.36
Te 0.0162 0.2500 0.3826  4 Tb 3.06-3.30
Te 0.1078 0.2500 0.9396  4 Tb 3.07-3.13
Te 0.2440 0.7500 0.2782  3 Tb 3.13-3.22, 2 Nd 3.36
Te 0.3057 0.7500 0.7496  3 Tb 3.02-3.06, 1 Nd 3.31
Te 0.3852 0.2500 0.5322  3 Nd 3.25-3.33, 2 Tb 3.29
Te 0.4148 0.7500 0.0979  3 Tb 3.09-3.11, 2 Nd 3.36
Te 0.5852 0.2500 0.9021  3 Tb 3.09-3.11, 2 Nd 3.36
Te 0.6148 0.7500 0.4678  3 Nd 3.25-3.33, 2 Tb 3.29
Te 0.6943 0.2500 0.2504  3 Tb 3.02-3.06, 1 Nd 3.31
Te 0.7560 0.2500 0.7218  3 Tb 3.13-3.22, 2 Nd 3.36
Te 0.8922 0.7500 0.0604  4 Tb 3.07-3.13
Te 0.9838 0.7500 0.6174  4 Tb 3.06-3.30

--- ii ---
First-principles (PBE-GGA) data for an optimized crystal structure of Tb3NdTe6, as listed in Alexandria via LeMat-Bulk.

magnetization = 0.000 μB/f.u.
space-group type = C2/m

a = 8.1721 Å, b = 8.1721 Å, c = 7.5477 Å
α = 117.13°, β = 117.13°, γ = 63.29°
With the nearest neighbours (Å) after each atom.
Sites, in units of the cell vectors:
Tb 0.0000 0.0000 0.0000  6 Te 3.01-3.21
Tb 0.2494 0.2494 0.8278  5 Te 3.00-3.14
Tb 0.7506 0.7506 0.1722  5 Te 3.00-3.14
Nd 0.5000 0.5000 0.5000  6 Te 3.08-3.28
Te 0.1578 0.6615 0.1552  3 Tb 3.01-3.14, 1 Nd 3.08
Te 0.2457 0.2457 0.4271  2 Tb 3.00-3.21, 1 Nd 3.28
Te 0.3385 0.8422 0.8448  3 Tb 3.01-3.14, 1 Nd 3.08
Te 0.6615 0.1578 0.1552  3 Tb 3.01-3.14, 1 Nd 3.08
Te 0.7543 0.7543 0.5729  2 Tb 3.00-3.21, 1 Nd 3.28
Te 0.8422 0.3385 0.8448  3 Tb 3.01-3.14, 1 Nd 3.08

Most stable: i

--- i ---
First-principles (PBE-GGA) data for an optimized crystal structure of Tb2NdTe4, as listed in Alexandria via LeMat-Bulk.

magnetization = 0.000 μB/f.u.
space-group type = Cmcm

a = 7.5274 Å, b = 7.5274 Å, c = 15.0607 Å
α = 90.00°, β = 90.00°, γ = 146.73°
With the nearest neighbours (Å) after each atom.
Sites, in units of the cell vectors:
Tb 0.1312 0.8688 0.5681  6 Te 3.05-3.14
Tb 0.1312 0.8688 0.9319  6 Te 3.05-3.14
Tb 0.8688 0.1312 0.0681  6 Te 3.05-3.14
Tb 0.8688 0.1312 0.4319  6 Te 3.05-3.14
Nd 0.3743 0.6257 0.7500  6 Te 3.19-3.23
Nd 0.6257 0.3743 0.2500  6 Te 3.19-3.23
Te 0.0378 0.9622 0.7500  2 Tb 3.05, 2 Nd 3.19
Te 0.2238 0.7762 0.1207  3 Tb 3.11-3.14, 2 Nd 3.23
Te 0.2238 0.7762 0.3793  3 Tb 3.11-3.14, 2 Nd 3.23
Te 0.5000 0.5000 0.0000  4 Tb 3.05
Te 0.5000 0.5000 0.5000  4 Tb 3.05
Te 0.7762 0.2238 0.6207  3 Tb 3.11-3.14, 2 Nd 3.23
Te 0.7762 0.2238 0.8793  3 Tb 3.11-3.14, 2 Nd 3.23
Te 0.9622 0.0378 0.2500  2 Tb 3.05, 2 Nd 3.19

--- ii ---
First-principles (PBE-GGA) data for an optimized crystal structure of Tb2NdTe4, as listed in Alexandria via LeMat-Bulk.

magnetization = 0.000 μB/f.u.
space-group type = C2/m

a = 8.6380 Å, b = 8.6380 Å, c = 7.6222 Å
α = 115.77°, β = 115.77°, γ = 29.50°
With the nearest neighbours (Å) after each atom.
Sites, in units of the cell vectors:
Tb 0.2445 0.2445 0.2322  6 Te 3.07-3.16
Tb 0.7555 0.7555 0.7678  6 Te 3.07-3.16
Nd 0.5000 0.5000 0.5000  6 Te 3.17-3.20
Te 0.1331 0.1331 0.4714  3 Tb 3.14-3.16, 2 Nd 3.20
Te 0.3745 0.3745 0.0414  3 Tb 3.07-3.11, 1 Nd 3.17
Te 0.6255 0.6255 0.9586  3 Tb 3.07-3.11, 1 Nd 3.17
Te 0.8669 0.8669 0.5286  3 Tb 3.14-3.16, 2 Nd 3.20

Most stable: ii

--- i ---
First-principles (PBE-GGA) data for an optimized crystal structure of TbNdTe3, as listed in Alexandria via LeMat-Bulk.

magnetization = 0.000 μB/f.u.
space-group type = Pnma

a = 8.2649 Å, b = 11.2008 Å, c = 7.4208 Å
α = 90.00°, β = 90.00°, γ = 90.00°
With the nearest neighbours (Å) after each atom.
Sites, in units of the cell vectors:
Tb 0.0000 0.0000 0.0000  6 Te 3.03-3.08
Tb 0.0000 0.5000 0.0000  6 Te 3.03-3.08
Tb 0.5000 0.0000 0.5000  6 Te 3.03-3.08
Tb 0.5000 0.5000 0.5000  6 Te 3.03-3.08
Nd 0.1197 0.2500 0.4481  6 Te 3.16-3.34
Nd 0.3803 0.7500 0.9481  6 Te 3.16-3.34
Nd 0.6197 0.2500 0.0519  6 Te 3.16-3.34
Nd 0.8803 0.7500 0.5519  6 Te 3.16-3.34
Te 0.0501 0.7500 0.1622  2 Tb 3.08, 2 Nd 3.16-3.21
Te 0.1763 0.5766 0.6612  2 Tb 3.03-3.05, 2 Nd 3.23-3.34
Te 0.1763 0.9234 0.6612  2 Tb 3.03-3.05, 2 Nd 3.23-3.34
Te 0.3237 0.0766 0.1612  2 Tb 3.03-3.05, 2 Nd 3.23-3.34
Te 0.3237 0.4234 0.1612  2 Tb 3.03-3.05, 2 Nd 3.23-3.34
Te 0.4499 0.2500 0.6622  2 Tb 3.08, 2 Nd 3.16-3.21
Te 0.5501 0.7500 0.3378  2 Tb 3.08, 2 Nd 3.16-3.21
Te 0.6763 0.5766 0.8388  2 Tb 3.03-3.05, 2 Nd 3.23-3.34
Te 0.6763 0.9234 0.8388  2 Tb 3.03-3.05, 2 Nd 3.23-3.34
Te 0.8237 0.0766 0.3388  2 Tb 3.03-3.05, 2 Nd 3.23-3.34
Te 0.8237 0.4234 0.3388  2 Tb 3.03-3.05, 2 Nd 3.23-3.34
Te 0.9499 0.2500 0.8378  2 Tb 3.08, 2 Nd 3.16-3.21

--- ii ---
First-principles (PBE-GGA) data for an optimized crystal structure of TbNdTe3, as listed in Alexandria via LeMat-Bulk.

magnetization = 0.000 μB/f.u.
space-group type = Pnma

a = 8.3074 Å, b = 4.4161 Å, c = 17.4492 Å
α = 90.00°, β = 90.00°, γ = 90.00°
With the nearest neighbours (Å) after each atom.
Sites, in units of the cell vectors:
Tb 0.2282 0.2500 0.0417  7 Te 3.11-3.26
Tb 0.2718 0.7500 0.5417  7 Te 3.11-3.26
Tb 0.7282 0.2500 0.4583  7 Te 3.11-3.26
Tb 0.7718 0.7500 0.9583  7 Te 3.11-3.26
Nd 0.1349 0.7500 0.2993  8 Te 3.17-3.52
Nd 0.3651 0.2500 0.7993  8 Te 3.17-3.52
Nd 0.6349 0.7500 0.2007  8 Te 3.17-3.52
Nd 0.8651 0.2500 0.7007  8 Te 3.17-3.52
Te 0.0038 0.7500 0.1072  3 Tb 3.11-3.24, 1 Nd 3.47
Te 0.1176 0.2500 0.4362  3 Tb 3.15-3.26, 2 Nd 3.26, 1 Te 3.48
Te 0.1559 0.7500 0.7149  1 Tb 3.17, 4 Nd 3.17-3.28, 1 Te 3.48
Te 0.3441 0.2500 0.2149  1 Tb 3.17, 4 Nd 3.17-3.28, 1 Te 3.48
Te 0.3824 0.7500 0.9362  3 Tb 3.15-3.26, 2 Nd 3.26, 1 Te 3.48
Te 0.4962 0.2500 0.6072  3 Tb 3.11-3.24, 1 Nd 3.47
Te 0.5038 0.7500 0.3928  3 Tb 3.11-3.24, 1 Nd 3.47
Te 0.6176 0.2500 0.0638  3 Tb 3.15-3.26, 2 Nd 3.26, 1 Te 3.48
Te 0.6559 0.7500 0.7851  1 Tb 3.17, 4 Nd 3.17-3.28, 1 Te 3.48
Te 0.8441 0.2500 0.2851  1 Tb 3.17, 4 Nd 3.17-3.28, 1 Te 3.48
Te 0.8824 0.7500 0.5638  3 Tb 3.15-3.26, 2 Nd 3.26, 1 Te 3.48
Te 0.9962 0.2500 0.8928  3 Tb 3.11-3.24, 1 Nd 3.47

Most stable: ii